An optimized crystal structure of TiCrO2, computed with PBE with a Hubbard U.

Output
calculated total energy: -33.406 eV per formula unit
E above lowest polymorph: 0.0 kJ per mole of atoms

Lattice parameters (Å, degrees): 6.270 6.270 6.270 28.30 28.30 28.30
Each line ends with the local moment (μB).
Fractional coordinates of all 4 atoms:
O  0.110  0.110  0.110  0.00
Ti  0.500  0.500  0.500  -0.55
O  0.890  0.890  0.890  0.00
Cr  0.000  0.000  0.000  3.81